Version P
# PBE LaTeCl2, relaxed
data_LaTeCl2
_chemical_formula_sum 'La4 Te4 Cl8'
_symmetry_space_group_name_H-M 'F m -3 m'
_symmetry_Int_Tables_number 225
_symmetry_space_group_name_Hall '-F 4 2 3'
_cell_length_a 7.454
_cell_length_b 7.454
_cell_length_c 7.454
_cell_angle_alpha 90.00
_cell_angle_beta 90.00
_cell_angle_gamma 90.00
loop_
_atom_site_label
_atom_site_type_symbol
_atom_site_fract_x
_atom_site_fract_y
_atom_site_fract_z
La1 La 0.000 0.000 0.000
Te1 Te 0.000 0.000 0.500
Cl1 Cl 0.250 0.250 0.250
# N(E_F)	18.55	states/eV/cell


Version Q
# PBE LaTeCl2, relaxed
data_LaTeCl2
_chemical_formula_sum 'La2 Te2 Cl4'
_symmetry_space_group_name_H-M 'C 1 m 1'
_symmetry_Int_Tables_number 8
_cell_length_a 12.597
_cell_length_b 3.855
_cell_length_c 7.208
_cell_angle_alpha 90.00
_cell_angle_beta 118.71
_cell_angle_gamma 90.00
loop_
_symmetry_equiv_pos_as_xyz
'x,y,z'
'x,-y,z'
'x+1/2,y+1/2,z'
'x+1/2,-y+1/2,z'
loop_
_atom_site_label
_atom_site_type_symbol
_atom_site_fract_x
_atom_site_fract_y
_atom_site_fract_z
La1 La 0.000 0.000 0.000
Te1 Te 0.218 0.500 0.000
Cl1 Cl 0.028 0.500 0.299
Cl2 Cl 0.365 0.000 0.699
# N(E_F)	3.22	states/eV/cell


Which is most stable, and by how much? version Q, by 389 meV per atom.


Version P
# PBE LaTe3Cl, relaxed
data_LaTe3Cl
_chemical_formula_sum 'La1 Te3 Cl1'
_symmetry_space_group_name_H-M 'P m -3 m'
_symmetry_Int_Tables_number 221
_symmetry_space_group_name_Hall '-P 4 2 3'
_cell_length_a 6.189
_cell_length_b 6.189
_cell_length_c 6.189
_cell_angle_alpha 90.00
_cell_angle_beta 90.00
_cell_angle_gamma 90.00
loop_
_atom_site_label
_atom_site_type_symbol
_atom_site_fract_x
_atom_site_fract_y
_atom_site_fract_z
La1 La 0.000 0.000 0.000
Te1 Te 0.000 0.000 0.500
Cl1 Cl 0.500 0.500 0.500
# N(E_F)	9.40	states/eV/cell


Version Q
# PBE LaTe3Cl, relaxed
data_LaTe3Cl
_chemical_formula_sum 'La1 Te3 Cl1'
_symmetry_space_group_name_H-M 'P m -3 m'
_symmetry_Int_Tables_number 221
_symmetry_space_group_name_Hall '-P 4 2 3'
_cell_length_a 5.404
_cell_length_b 5.404
_cell_length_c 5.404
_cell_angle_alpha 90.00
_cell_angle_beta 90.00
_cell_angle_gamma 90.00
loop_
_atom_site_label
_atom_site_type_symbol
_atom_site_fract_x
_atom_site_fract_y
_atom_site_fract_z
La1 La 0.000 0.000 0.000
Te1 Te 0.000 0.500 0.500
Cl1 Cl 0.500 0.500 0.500
# N(E_F)	3.00	states/eV/cell


Which is most stable, and by how much? version Q, by 212 meV per atom.


Version P
# PBE LaTi2Cl, relaxed
data_LaTi2Cl
_chemical_formula_sum 'La4 Ti8 Cl4'
_symmetry_space_group_name_H-M 'F m -3 m'
_symmetry_Int_Tables_number 225
_symmetry_space_group_name_Hall '-F 4 2 3'
_cell_length_a 6.825
_cell_length_b 6.825
_cell_length_c 6.825
_cell_angle_alpha 90.00
_cell_angle_beta 90.00
_cell_angle_gamma 90.00
loop_
_atom_site_label
_atom_site_type_symbol
_atom_site_fract_x
_atom_site_fract_y
_atom_site_fract_z
La1 La 0.000 0.000 0.000
Ti1 Ti 0.250 0.250 0.250
Cl1 Cl 0.000 0.000 0.500
# N(E_F)	31.59	states/eV/cell


Version Q
# PBE LaTi2Cl, relaxed
data_LaTi2Cl
_chemical_formula_sum 'La4 Ti8 Cl4'
_symmetry_space_group_name_H-M 'I -4 2 d'
_symmetry_Int_Tables_number 122
_symmetry_space_group_name_Hall 'I -4 2bw'
_cell_length_a 7.886
_cell_length_b 7.886
_cell_length_c 5.609
_cell_angle_alpha 90.00
_cell_angle_beta 90.00
_cell_angle_gamma 90.00
loop_
_atom_site_label
_atom_site_type_symbol
_atom_site_fract_x
_atom_site_fract_y
_atom_site_fract_z
La1 La 0.000 0.000 0.000
Ti1 Ti 0.156 0.250 0.625
Cl1 Cl 0.000 0.000 0.500
# N(E_F)	17.71	states/eV/cell


Which is most stable, and by how much? version Q, by 584 meV per atom.


Version P
# PBE LaTi3Cl, relaxed
data_LaTi3Cl
_chemical_formula_sum 'La1 Ti3 Cl1'
_symmetry_space_group_name_H-M 'P m -3 m'
_symmetry_Int_Tables_number 221
_symmetry_space_group_name_Hall '-P 4 2 3'
_cell_length_a 4.899
_cell_length_b 4.899
_cell_length_c 4.899
_cell_angle_alpha 90.00
_cell_angle_beta 90.00
_cell_angle_gamma 90.00
loop_
_atom_site_label
_atom_site_type_symbol
_atom_site_fract_x
_atom_site_fract_y
_atom_site_fract_z
La1 La 0.000 0.000 0.000
Ti1 Ti 0.000 0.000 0.500
Cl1 Cl 0.500 0.500 0.500
# N(E_F)	10.35	states/eV/cell


Version Q
# PBE LaTi3Cl, relaxed
data_LaTi3Cl
_chemical_formula_sum 'La1 Ti3 Cl1'
_symmetry_space_group_name_H-M 'P m -3 m'
_symmetry_Int_Tables_number 221
_symmetry_space_group_name_Hall '-P 4 2 3'
_cell_length_a 4.707
_cell_length_b 4.707
_cell_length_c 4.707
_cell_angle_alpha 90.00
_cell_angle_beta 90.00
_cell_angle_gamma 90.00
loop_
_atom_site_label
_atom_site_type_symbol
_atom_site_fract_x
_atom_site_fract_y
_atom_site_fract_z
La1 La 0.000 0.000 0.000
Ti1 Ti 0.000 0.500 0.500
Cl1 Cl 0.500 0.500 0.500
# N(E_F)	8.23	states/eV/cell


Which is most stable, and by how much? version Q, by 1350 meV per atom.


Version P
# PBE LaTiCl2, relaxed
data_LaTiCl2
_chemical_formula_sum 'La4 Ti4 Cl8'
_symmetry_space_group_name_H-M 'I -4 2 d'
_symmetry_Int_Tables_number 122
_symmetry_space_group_name_Hall 'I -4 2bw'
_cell_length_a 4.779
_cell_length_b 4.779
_cell_length_c 17.396
_cell_angle_alpha 90.00
_cell_angle_beta 90.00
_cell_angle_gamma 90.00
loop_
_atom_site_label
_atom_site_type_symbol
_atom_site_fract_x
_atom_site_fract_y
_atom_site_fract_z
La1 La 0.000 0.000 0.000
Ti1 Ti 0.000 0.000 0.500
Cl1 Cl 0.209 0.250 0.625
# N(E_F)	19.83	states/eV/cell


Version Q
# PBE LaTiCl2, relaxed
data_LaTiCl2
_chemical_formula_sum 'La3 Ti3 Cl6'
_symmetry_space_group_name_H-M 'R -3 m'
_symmetry_Int_Tables_number 166
_symmetry_space_group_name_Hall '-R 3 2"'
_cell_length_a 3.4814
_cell_length_b 3.4814
_cell_length_c 27.5887
_cell_angle_alpha 90.00
_cell_angle_beta 90.00
_cell_angle_gamma 120.00
loop_
_atom_site_label
_atom_site_type_symbol
_atom_site_fract_x
_atom_site_fract_y
_atom_site_fract_z
La1 La 0.0000 0.0000 0.0000
Ti1 Ti 0.0000 0.0000 0.5000
Cl1 Cl 0.0000 0.0000 0.4114
# N(E_F)	12.54	states/eV/cell


Which is most stable, and by how much? version Q, by 154 meV per atom.


Version P
# PBE La4TlCl5, relaxed
data_La4TlCl5
_chemical_formula_sum 'La8 Tl2 Cl10'
_symmetry_space_group_name_H-M 'C 1 2/m 1'
_symmetry_Int_Tables_number 12
_cell_length_a 19.881
_cell_length_b 3.900
_cell_length_c 8.406
_cell_angle_alpha 90.00
_cell_angle_beta 114.84
_cell_angle_gamma 90.00
loop_
_symmetry_equiv_pos_as_xyz
'x,y,z'
'-x,-y,-z'
'-x,y,-z'
'x,-y,z'
'x+1/2,y+1/2,z'
'-x+1/2,-y+1/2,-z'
'-x+1/2,y+1/2,-z'
'x+1/2,-y+1/2,z'
loop_
_atom_site_label
_atom_site_type_symbol
_atom_site_fract_x
_atom_site_fract_y
_atom_site_fract_z
La1 La 0.066 0.000 0.296
La2 La 0.173 0.500 0.815
Tl1 Tl 0.000 0.500 0.500
Cl1 Cl 0.000 0.500 0.000
Cl2 Cl 0.161 0.000 0.073
Cl3 Cl 0.201 0.000 0.588
# N(E_F)	10.39	states/eV/cell


Version Q
# PBE La4TlCl5, relaxed
data_La4TlCl5
_chemical_formula_sum 'La8 Tl2 Cl10'
_symmetry_space_group_name_H-M 'C 1 2/m 1'
_symmetry_Int_Tables_number 12
_cell_length_a 18.450
_cell_length_b 4.076
_cell_length_c 9.202
_cell_angle_alpha 90.00
_cell_angle_beta 101.77
_cell_angle_gamma 90.00
loop_
_symmetry_equiv_pos_as_xyz
'x,y,z'
'-x,-y,-z'
'-x,y,-z'
'x,-y,z'
'x+1/2,y+1/2,z'
'-x+1/2,-y+1/2,-z'
'-x+1/2,y+1/2,-z'
'x+1/2,-y+1/2,z'
loop_
_atom_site_label
_atom_site_type_symbol
_atom_site_fract_x
_atom_site_fract_y
_atom_site_fract_z
La1 La 0.005 0.000 0.261
La2 La 0.175 0.500 0.068
Tl1 Tl 0.000 0.500 0.000
Cl1 Cl 0.000 0.500 0.500
Cl2 Cl 0.159 0.000 0.818
Cl3 Cl 0.166 0.000 0.298
# N(E_F)	8.96	states/eV/cell


Which is most stable, and by how much? version Q, by 35 meV per atom.


Version P
# PBE La4Tl2Cl, relaxed
data_La4Tl2Cl
_chemical_formula_sum 'La8 Tl4 Cl2'
_symmetry_space_group_name_H-M 'I 4/m m m'
_symmetry_Int_Tables_number 139
_symmetry_space_group_name_Hall '-I 4 2'
_cell_length_a 5.409
_cell_length_b 5.409
_cell_length_c 16.546
_cell_angle_alpha 90.00
_cell_angle_beta 90.00
_cell_angle_gamma 90.00
loop_
_atom_site_label
_atom_site_type_symbol
_atom_site_fract_x
_atom_site_fract_y
_atom_site_fract_z
La1 La 0.000 0.000 0.176
La2 La 0.000 0.500 0.000
Tl1 Tl 0.000 0.000 0.372
Cl1 Cl 0.000 0.000 0.000
# N(E_F)	14.65	states/eV/cell


Version Q
# PBE La4Tl2Cl, relaxed
data_La4Tl2Cl
_chemical_formula_sum 'La8 Tl4 Cl2'
_symmetry_space_group_name_H-M 'C 1 2/m 1'
_symmetry_Int_Tables_number 12
_cell_length_a 12.696
_cell_length_b 4.584
_cell_length_c 9.270
_cell_angle_alpha 90.00
_cell_angle_beta 123.28
_cell_angle_gamma 90.00
loop_
_symmetry_equiv_pos_as_xyz
'x,y,z'
'-x,-y,-z'
'-x,y,-z'
'x,-y,z'
'x+1/2,y+1/2,z'
'-x+1/2,-y+1/2,-z'
'-x+1/2,y+1/2,-z'
'x+1/2,-y+1/2,z'
loop_
_atom_site_label
_atom_site_type_symbol
_atom_site_fract_x
_atom_site_fract_y
_atom_site_fract_z
La1 La 0.080 0.000 0.364
La2 La 0.170 0.500 0.076
Tl1 Tl 0.134 0.500 0.668
Cl1 Cl 0.000 0.000 0.000
# N(E_F)	15.09	states/eV/cell


Which is most stable, and by how much? version Q, by 145 meV per atom.


Version P
# PBE LaVCl2, relaxed
data_LaVCl2
_chemical_formula_sum 'La4 V4 Cl8'
_symmetry_space_group_name_H-M 'I -4 2 d'
_symmetry_Int_Tables_number 122
_symmetry_space_group_name_Hall 'I -4 2bw'
_cell_length_a 4.785
_cell_length_b 4.785
_cell_length_c 17.683
_cell_angle_alpha 90.00
_cell_angle_beta 90.00
_cell_angle_gamma 90.00
loop_
_atom_site_label
_atom_site_type_symbol
_atom_site_fract_x
_atom_site_fract_y
_atom_site_fract_z
La1 La 0.000 0.000 0.000
V1 V 0.000 0.000 0.500
Cl1 Cl 0.218 0.250 0.625
# N(E_F)	11.65	states/eV/cell


Version Q
# PBE LaVCl2, relaxed
data_LaVCl2
_chemical_formula_sum 'La3 V3 Cl6'
_symmetry_space_group_name_H-M 'R -3 m'
_symmetry_Int_Tables_number 166
_symmetry_space_group_name_Hall '-R 3 2"'
_cell_length_a 3.7002
_cell_length_b 3.7002
_cell_length_c 26.2662
_cell_angle_alpha 90.00
_cell_angle_beta 90.00
_cell_angle_gamma 120.00
loop_
_atom_site_label
_atom_site_type_symbol
_atom_site_fract_x
_atom_site_fract_y
_atom_site_fract_z
La1 La 0.0000 0.0000 0.0000
V1 V 0.0000 0.0000 0.5000
Cl1 Cl 0.0000 0.0000 0.1154
# N(E_F)	8.56	states/eV/cell


Which is most stable, and by how much? version P, by 23 meV per atom.